No. 1
The following is a DFT calculation (GGA-PBE) of crystalline TbNiGe2Ir2 at its relaxed geometry.

Summary:
Energy relative to the elements in kJ/mol of formula units: -126
SG: No. 123

Lattice parameters (Å, degrees): 4.425 4.425 5.459 90.00 90.00 90.00
Fractional positions:
Tb  0.000  0.000  0.500
Ni  0.000  0.000  0.000
Ge  0.500  0.000  0.000
Ge  0.000  0.500  0.000
Ir  0.500  0.500  0.733
Ir  0.500  0.500  0.267

---

No. 2
The following is a DFT calculation (GGA-PBE) of crystalline LiScMn2 at its relaxed geometry.

Summary:
Energy relative to the elements in kJ/mol of formula units: 104
Relative energy among the computed polymorphs in eV per formula unit: 0.43
SG: No. 6

Lattice parameters (Å, degrees): 3.871 2.789 5.710 75.50 90.00 90.00
Site moments in Bohr magnetons follow the coordinates.
Fractional positions:
Li  0.500  0.787  0.784  0.00
Mn  0.000  0.019  0.042  1.81
Mn  0.500  0.214  0.196  -1.65
Sc  0.000  0.480  0.477  0.04

---

No. 3
The following is a DFT calculation (GGA-PBE) of crystalline Zr2PbBr at its relaxed geometry.

Summary:
Formation energy from raw total energies in eV per atom: -0.190
SG: No. 10

Lattice parameters (Å, degrees): 4.263 3.359 6.681 86.86 90.00 90.00
Fractional positions:
Pb  0.500  0.750  0.750
Br  0.500  0.250  0.250
Zr  0.000  0.221  0.002
Zr  0.000  0.279  0.498

---

No. 4
The following is a DFT calculation (GGA-PBE) of crystalline KCaAg2 at its relaxed geometry.

Summary:
Energy relative to the elements in kJ/mol of formula units: 24
Relative energy among the computed polymorphs in eV per formula unit: 0.79
SG: No. 119

Lattice parameters (Å, degrees): 6.149 6.149 6.149 135.91 135.91 64.12
Fractional positions:
Ag  0.000  0.000  0.000
Ag  0.250  0.750  0.500
Ca  0.500  0.500  0.000
K  0.750  0.250  0.500

---

No. 5
The following is a DFT calculation (GGA-PBE) of crystalline Ca4ThPb5 at its relaxed geometry.

Summary:
Energy relative to the elements in kJ/mol of formula units: -455
SG: No. 123

Lattice parameters (Å, degrees): 3.585 3.585 23.311 90.00 90.00 90.00
Fractional positions:
Ca  0.000  0.000  0.202
Ca  0.000  0.000  0.400
Ca  0.000  0.000  0.600
Ca  0.000  0.000  0.798
Th  0.000  0.000  0.000
Pb  0.500  0.500  0.103
Pb  0.500  0.500  0.301
Pb  0.500  0.500  0.500
Pb  0.500  0.500  0.699
Pb  0.500  0.500  0.897

---

No. 6
The following is a DFT calculation (GGA-PBE) of crystalline HoZrSn at its relaxed geometry.

Summary:
Energy relative to the elements in kJ/mol of formula units: 14
SG: No. 70

Lattice parameters (Å, degrees): 7.085 7.085 8.982 99.19 99.19 126.53
Site moments in Bohr magnetons follow the coordinates.
Fractional positions:
Ho  0.195  0.195  0.389  0.22
Ho  0.805  0.805  0.611  0.22
Ho  0.055  0.555  0.111  0.22
Ho  0.445  0.945  0.889  0.22
Zr  0.625  0.875  0.250  0.41
Zr  0.625  0.375  0.750  0.41
Zr  0.625  0.375  0.250  0.41
Zr  0.125  0.375  0.750  0.41
Sn  0.480  0.980  0.500  -0.01
Sn  0.230  0.230  0.000  -0.01
Sn  0.020  0.520  0.500  -0.01
Sn  0.770  0.770  0.000  -0.01

---

No. 7
The following is a DFT calculation (GGA-PBE) of crystalline CdBr3 at its relaxed geometry.

Summary:
Formation energy from raw total energies in eV per atom: -0.389
SG: No. 10

Lattice parameters (Å, degrees): 4.164 5.735 5.728 57.89 90.00 90.00
Fractional positions:
Br  0.000  0.044  0.044
Br  0.500  0.750  0.750
Br  0.000  0.456  0.456
Cd  0.500  0.250  0.250

---

No. 8
The following is a DFT calculation (GGA-PBE) of crystalline FeNiMo2 at its relaxed geometry.

Summary:
Energy relative to the elements in kJ/mol of formula units: 26
Relative energy among the computed polymorphs in eV per formula unit: 0.07
SG: No. 10

Lattice parameters (Å, degrees): 3.718 2.670 5.931 63.66 90.00 90.00
Fractional positions:
Fe  0.500  0.750  0.750
Mo  0.000  0.004  0.993
Mo  0.000  0.496  0.507
Ni  0.500  0.250  0.250

---

No. 9
The following is a DFT calculation (GGA-PBE) of crystalline CuPC at its relaxed geometry.

Summary:
Energy relative to the elements in kJ/mol of formula units: 143
Relative energy among the computed polymorphs in eV per formula unit: 0.73
SG: No. 6

Lattice parameters (Å, degrees): 2.905 3.230 4.167 90.00 110.09 90.00
Fractional positions:
P  0.309  0.500  0.199
C  0.683  0.500  0.945
Cu  0.518  0.000  0.617

---

No. 10
The following is a DFT calculation (GGA-PBE) of crystalline Rb3Ga2F9 at its relaxed geometry.

Summary:
Formation energy from raw total energies in eV per atom: -2.767
SG: No. 194

Lattice parameters (Å, degrees): 6.152 6.152 15.587 90.00 90.00 120.00
Fractional positions:
Rb  0.000  0.000  0.750
Rb  0.000  0.000  0.250
Rb  0.667  0.333  0.927
Rb  0.333  0.667  0.073
Rb  0.333  0.667  0.427
Rb  0.667  0.333  0.573
Ga  0.667  0.333  0.159
Ga  0.333  0.667  0.841
Ga  0.333  0.667  0.659
Ga  0.667  0.333  0.341
F  0.470  0.940  0.750
F  0.060  0.530  0.750
F  0.470  0.530  0.750
F  0.530  0.060  0.250
F  0.940  0.470  0.250
F  0.530  0.470  0.250
F  0.183  0.366  0.900
F  0.634  0.817  0.900
F  0.183  0.817  0.900
F  0.817  0.634  0.100
F  0.366  0.183  0.100
F  0.817  0.183  0.100
F  0.817  0.634  0.400
F  0.366  0.183  0.400
F  0.817  0.183  0.400
F  0.183  0.366  0.600
F  0.634  0.817  0.600
F  0.183  0.817  0.600

---

No. 11
The following is a DFT calculation (GGA-PBE) of crystalline LaSm2YTh at its relaxed geometry.

Summary:
Energy relative to the elements in kJ/mol of formula units: 142
SG: No. 13

Lattice parameters (Å, degrees): 6.492 8.648 6.434 98.98 90.00 90.00
Fractional positions:
La  0.000  0.000  0.000
La  0.000  0.000  0.500
Sm  0.684  0.685  0.801
Sm  0.684  0.315  0.699
Sm  0.316  0.685  0.301
Sm  0.316  0.315  0.199
Y  0.171  0.500  0.750
Y  0.829  0.500  0.250
Th  0.548  0.000  0.250
Th  0.452  0.000  0.750

---

No. 12
The following is a DFT calculation (GGA-PBE) of crystalline Sr2CuGe3Pt4 at its relaxed geometry.

Summary:
Energy relative to the elements in kJ/mol of formula units: -713
SG: No. 115

Lattice parameters (Å, degrees): 4.433 4.433 10.152 90.00 90.00 90.00
Fractional positions:
Sr  0.500  0.000  0.257
Sr  0.000  0.500  0.743
Cu  0.500  0.500  0.500
Ge  0.000  0.000  0.500
Ge  0.500  0.000  0.874
Ge  0.000  0.500  0.126
Pt  0.500  0.500  0.000
Pt  0.000  0.000  0.000
Pt  0.500  0.000  0.628
Pt  0.000  0.500  0.372

---

no.,total energy (eV/f.u.),magnetic moment (μB/f.u.)
1,-38.68,0.000
2,-25.51,0.208
3,-23.24,0.000
4,-8.56,0.000
5,-38.68,0.000
6,-16.98,0.818
7,-7.49,0.000
8,-35.64,0.019
9,-17.25,0.000
10,-64.53,0.248
11,-26.78,0.000
12,-52.86,0.000